# 1
VASP calculation (PBE) on crystalline BaSi2As at its relaxed geometry.

Results
Formation energy (no corrections)   -0.022 eV per atom
Symmetry   P4/mmm (123)
Raw total energy   -4.377 eV per atom

Lattice parameters (Å, degrees): 3.764 3.764 6.748 90.00 90.00 90.00
Atoms (fractional coordinates):
Ba 0.000 0.000 0.000
Si 0.500 0.500 0.331
Si 0.500 0.500 0.669
As 0.000 0.000 0.500

=====

# 2
VASP calculation (PBE) on crystalline Zr4NiIr at its relaxed geometry.

Results
ΔH_f (0 K)   0.4758 eV per atom
Relative energy among the computed polymorphs   969 meV per atom
Symmetry   F-43m (216)
Raw total energy   -7.663 eV per atom

Lattice parameters (Å, degrees): 5.511 5.511 5.511 60.00 60.00 60.00
Atoms (fractional coordinates):
Zr 0.124 0.124 0.124
Zr 0.124 0.124 0.627
Zr 0.124 0.627 0.124
Zr 0.627 0.124 0.124
Ni 0.500 0.500 0.500
Ir 0.750 0.750 0.750

=====

# 3
VASP calculation (PBE) on crystalline PmHfOsRh at its relaxed geometry.

Results
ΔH_f (0 K)   -0.4490 eV per atom
Symmetry   F-43m (216)
Raw total energy   -8.770 eV per atom

Lattice parameters (Å, degrees): 4.778 4.778 4.778 60.00 60.00 60.00
Atoms (fractional coordinates):
Pm 0.000 0.000 0.000
Hf 0.500 0.500 0.500
Os 0.750 0.750 0.750
Rh 0.250 0.250 0.250

=====

# 4
VASP calculation (PBE) on crystalline ScHg2B at its relaxed geometry.

Results
ΔH_f (0 K)   0.6485 eV per atom
Symmetry   I-42d (122)
Raw total energy   -2.755 eV per atom

Lattice parameters (Å, degrees): 8.355 8.355 8.355 146.87 146.87 47.55
Atoms (fractional coordinates):
Sc 0.000 0.000 0.000
Sc 0.750 0.250 0.500
Hg 0.227 0.625 0.102
Hg 0.375 0.477 0.602
Hg 0.523 0.125 0.898
Hg 0.875 0.773 0.398
B 0.250 0.750 0.500
B 0.500 0.500 0.000

=====

# 5
VASP calculation (PBE) on crystalline Mg5Cr at its relaxed geometry.

Results
ΔH_f (0 K)   0.1824 eV per atom
Symmetry   Amm2 (38)
Raw total energy   -2.750 eV per atom

Lattice parameters (Å, degrees): 5.072 8.276 8.276 21.73 90.00 90.00
Atoms (fractional coordinates):
Mg 0.000 0.000 0.000
Mg 0.000 0.321 0.321
Mg 0.500 0.214 0.214
Mg 0.500 0.554 0.554
Mg 0.500 0.885 0.885
Cr 0.000 0.661 0.661

=====

# 6
VASP calculation (PBE) on crystalline YAg at its relaxed geometry.

Results
ΔH_f (0 K)   0.4557 eV per atom
Symmetry   F-43m (216)
Raw total energy   -4.202 eV per atom

Lattice parameters (Å, degrees): 4.640 4.640 4.640 60.00 60.00 60.00
Atoms (fractional coordinates):
Y 0.000 0.000 0.000
Ag 0.250 0.250 0.250

=====

# 7
VASP calculation (PBE) on crystalline Ti2NbFe2 at its relaxed geometry.

Results
ΔH_f (0 K)   0.0407 eV per atom
Relative energy among the computed polymorphs   88 meV per atom
Symmetry   P4/mbm (127)
Raw total energy   -8.516 eV per atom

Lattice parameters (Å, degrees): 7.177 7.177 2.778 90.00 90.00 90.00
Atoms (fractional coordinates):
Ti 0.145 0.355 0.000
Ti 0.355 0.855 0.000
Ti 0.645 0.145 0.000
Ti 0.855 0.645 0.000
Nb 0.000 0.000 0.000
Nb 0.500 0.500 0.000
Fe 0.154 0.654 0.500
Fe 0.346 0.154 0.500
Fe 0.654 0.846 0.500
Fe 0.846 0.346 0.500

=====

# 8
VASP calculation (PBE) on crystalline BaSr3S at its relaxed geometry.

Results
Relative energy among the computed polymorphs   1581 meV per atom
Formation energy (no corrections)   0.882 eV per atom
Symmetry   Pm-3m (221)
Raw total energy   -1.337 eV per atom

Lattice parameters (Å, degrees): 6.591 6.591 6.591 90.00 90.00 90.00
Atoms (fractional coordinates):
Ba 0.000 0.000 0.000
Sr 0.000 0.000 0.500
Sr 0.000 0.500 0.000
Sr 0.500 0.000 0.000
S 0.500 0.500 0.500

=====

# 9
VASP calculation (PBE) on crystalline RbAlSbTe2 at its relaxed geometry.

Results
Relative energy among the computed polymorphs   1260 meV per atom
Formation energy (no corrections)   1.127 eV per atom
Symmetry   P4/mmm (123)
Raw total energy   -1.897 eV per atom

Lattice parameters (Å, degrees): 6.322 6.322 6.100 90.00 90.00 90.00
Atoms (fractional coordinates):
Rb 0.000 0.000 0.000
Al 0.500 0.500 0.500
Sb 0.000 0.000 0.500
Te 0.000 0.500 0.000
Te 0.500 0.000 0.000

=====

# 10
VASP calculation (PBE) on crystalline AcLa2Th2 at its relaxed geometry.

Results
ΔH_f (0 K)   0.0337 eV per atom
Symmetry   I4/mmm (139)
Raw total energy   -5.727 eV per atom

Lattice parameters (Å, degrees): 13.648 13.648 13.648 164.53 164.53 21.94
Atoms (fractional coordinates):
Ac 0.000 0.000 0.000
La 0.389 0.389 0.000
La 0.611 0.611 0.000
Th 0.206 0.206 0.000
Th 0.794 0.794 0.000

=====

# 11
VASP calculation (PBE) on crystalline Ta2PCl at its relaxed geometry.

Results
Relative energy among the computed polymorphs   60 meV per atom
Formation energy (no corrections)   -0.261 eV per atom
Symmetry   Imm2 (44)
Raw total energy   -8.002 eV per atom

Lattice parameters (Å, degrees): 6.951 6.951 6.951 152.14 149.48 41.79
Atoms (fractional coordinates):
Ta 0.000 0.000 0.000
Ta 0.839 0.339 0.500
P 0.465 0.465 0.000
Cl 0.222 0.722 0.500

=====

# 12
VASP calculation (PBE) on crystalline FeNi3Ir at its relaxed geometry.

Results
ΔH_f (0 K)   1.2415 eV per atom
Relative energy among the computed polymorphs   1146 meV per atom
Symmetry   Pm-3m (221)
Raw total energy   -5.692 eV per atom

Lattice parameters (Å, degrees): 4.172 4.172 4.172 90.00 90.00 90.00
Atoms (fractional coordinates):
Fe 0.000 0.000 0.000
Ni 0.000 0.000 0.500
Ni 0.000 0.500 0.000
Ni 0.500 0.000 0.000
Ir 0.500 0.500 0.500

=====

raw total energy of number 8 (BaSr3S)? -1.337 eV per atom